No. 1
Compound: Li2GaSn3
Source: Alexandria via LeMat-Bulk
Functional: PBE
Structure: relaxed

- electronic total energy (eV per formula unit) = -19.17
- energy above the most stable polymorph in this dataset (meV/atom) = 131.0
- calculated formation energy (meV per atom) = -51
- calculated volume (Å³/cell) = 280.6

```
data_Li2GaSn3
_symmetry_space_group_name_H-M 'I m m m'
_symmetry_Int_Tables_number 71
_symmetry_space_group_name_Hall '-I 2 2'
_cell_length_a 3.085
_cell_length_b 5.449
_cell_length_c 16.690
_cell_angle_alpha 90.00
_cell_angle_beta 90.00
_cell_angle_gamma 90.00
loop_
_atom_site_label
_atom_site_type_symbol
_atom_site_fract_x
_atom_site_fract_y
_atom_site_fract_z
Li1 Li 0.000 0.000 0.149
Ga1 Ga 0.000 0.000 0.500
Sn1 Sn 0.000 0.000 0.322
Sn2 Sn 0.000 0.500 0.500
```



No. 2
Compound: Ba2ZnHg2
Source: Alexandria via LeMat-Bulk
Functional: PBE
Structure: relaxed

- electronic total energy (eV per formula unit) = -7.19
- energy above the most stable polymorph in this dataset (meV/atom) = 0.0
- calculated formation energy (meV per atom) = -294
- calculated volume (Å³/cell) = 356.9

```
data_Ba2ZnHg2
_symmetry_space_group_name_H-M 'P 4/m b m'
_symmetry_Int_Tables_number 127
_symmetry_space_group_name_Hall '-P 4 2ab'
_cell_length_a 8.740
_cell_length_b 8.740
_cell_length_c 4.672
_cell_angle_alpha 90.00
_cell_angle_beta 90.00
_cell_angle_gamma 90.00
loop_
_atom_site_label
_atom_site_type_symbol
_atom_site_fract_x
_atom_site_fract_y
_atom_site_fract_z
Ba1 Ba 0.175 0.325 0.000
Zn1 Zn 0.000 0.000 0.500
Hg1 Hg 0.127 0.627 0.500
```



No. 3
Compound: YZrSn
Source: Alexandria via LeMat-Bulk
Functional: PBE
Structure: relaxed

- electronic total energy (eV per formula unit) = -20.09
- calculated formation energy (meV per atom) = -358
- calculated volume (Å³/cell) = 149.4

```
data_YZrSn
_symmetry_space_group_name_H-M 'I 4 m m'
_symmetry_Int_Tables_number 107
_symmetry_space_group_name_Hall 'I 4 -2'
_cell_length_a 3.895
_cell_length_b 3.895
_cell_length_c 9.846
_cell_angle_alpha 90.00
_cell_angle_beta 90.00
_cell_angle_gamma 90.00
loop_
_atom_site_label
_atom_site_type_symbol
_atom_site_fract_x
_atom_site_fract_y
_atom_site_fract_z
Y1 Y 0.000 0.000 0.000
Zr1 Zr 0.000 0.000 0.317
Sn1 Sn 0.000 0.000 0.671
```



No. 4
Compound: Tb3PrTm6
Source: Alexandria via LeMat-Bulk
Functional: PBE
Structure: relaxed

- electronic total energy (eV per formula unit) = -44.01
- energy above the most stable polymorph in this dataset (meV/atom) = 0.0
- calculated formation energy (meV per atom) = 149
- calculated volume (Å³/cell) = 1267.9

```
data_Tb3PrTm6
_symmetry_space_group_name_H-M 'C m c 21'
_symmetry_Int_Tables_number 36
_cell_length_a 10.934
_cell_length_b 18.824
_cell_length_c 6.160
_cell_angle_alpha 90.00
_cell_angle_beta 90.00
_cell_angle_gamma 90.00
loop_
_symmetry_equiv_pos_as_xyz
'x,y,z'
'-x,-y,z+1/2'
'-x,y,z'
'x,-y,z+1/2'
'x+1/2,y+1/2,z'
'-x+1/2,-y+1/2,z+1/2'
'-x+1/2,y+1/2,z'
'x+1/2,-y+1/2,z+1/2'
loop_
_atom_site_label
_atom_site_type_symbol
_atom_site_fract_x
_atom_site_fract_y
_atom_site_fract_z
Tb1 Tb 0.000 0.108 0.000
Tb2 Tb 0.176 0.392 0.385
Pr1 Pr 0.000 0.290 0.095
Tm1 Tm 0.000 0.208 0.565
Tm2 Tm 0.000 0.452 0.844
Tm3 Tm 0.167 0.048 0.450
Tm4 Tm 0.242 0.288 0.790
```